1.
{"formula": "Lu2P4O13", "functional": "SCAN", "state": "PBEsol geometry", "space_group": "C2/c, No. 15", "lattice_angstrom": [[5.879, -3.319, 0.000], [5.879, 3.319, 0.000], [-3.844, 0.000, 12.076]], "species": ["Lu", "Lu", "Lu", "Lu", "P", "P", "P", "P", "P", "P", "P", "P", "O", "O", "O", "O", "O", "O", "O", "O", "O", "O", "O", "O", "O", "O", "O", "O", "O", "O", "O", "O", "O", "O", "O", "O", "O", "O"], "fractional_positions": [[0.191, 0.198, 0.047], [0.198, 0.191, 0.547], [0.802, 0.809, 0.453], [0.809, 0.802, 0.953], [0.251, 0.272, 0.337], [0.272, 0.251, 0.837], [0.328, 0.645, 0.132], [0.355, 0.672, 0.368], [0.645, 0.328, 0.632], [0.672, 0.355, 0.868], [0.728, 0.749, 0.163], [0.749, 0.728, 0.663], [0.049, 0.422, 0.404], [0.072, 0.423, 0.904], [0.156, 0.819, 0.053], [0.181, 0.844, 0.447], [0.189, 0.198, 0.216], [0.198, 0.189, 0.716], [0.240, 0.760, 0.250], [0.374, 0.398, 0.102], [0.381, 0.419, 0.346], [0.398, 0.374, 0.602], [0.419, 0.381, 0.846], [0.422, 0.049, 0.904], [0.423, 0.072, 0.404], [0.577, 0.928, 0.596], [0.578, 0.951, 0.096], [0.581, 0.619, 0.154], [0.602, 0.626, 0.398], [0.619, 0.581, 0.654], [0.626, 0.602, 0.898], [0.760, 0.240, 0.750], [0.802, 0.811, 0.284], [0.811, 0.802, 0.784], [0.819, 0.156, 0.553], [0.844, 0.181, 0.947], [0.928, 0.577, 0.096], [0.951, 0.578, 0.596]]}



2.
{"formula": "RbLuP2O7", "functional": "SCAN", "state": "PBEsol geometry", "space_group": "P2_1/c, No. 14", "lattice_angstrom": [[7.685, 0.000, 0.000], [0.000, 10.724, 0.000], [-2.355, 0.000, 8.283]], "species": ["Rb", "Rb", "Rb", "Rb", "Lu", "Lu", "Lu", "Lu", "P", "P", "P", "P", "P", "P", "P", "P", "O", "O", "O", "O", "O", "O", "O", "O", "O", "O", "O", "O", "O", "O", "O", "O", "O", "O", "O", "O", "O", "O", "O", "O", "O", "O", "O", "O"], "fractional_positions": [[0.185, 0.178, 0.061], [0.185, 0.322, 0.561], [0.815, 0.678, 0.439], [0.815, 0.822, 0.939], [0.235, 0.598, 0.255], [0.235, 0.902, 0.755], [0.765, 0.098, 0.245], [0.765, 0.402, 0.745], [0.130, 0.599, 0.821], [0.130, 0.901, 0.321], [0.436, 0.636, 0.688], [0.436, 0.864, 0.188], [0.564, 0.136, 0.812], [0.564, 0.364, 0.312], [0.870, 0.099, 0.679], [0.870, 0.401, 0.179], [0.004, 0.000, 0.221], [0.004, 0.500, 0.721], [0.079, 0.730, 0.751], [0.079, 0.770, 0.251], [0.145, 0.592, 0.999], [0.145, 0.908, 0.499], [0.328, 0.610, 0.515], [0.328, 0.890, 0.015], [0.329, 0.565, 0.802], [0.329, 0.935, 0.302], [0.377, 0.077, 0.768], [0.377, 0.423, 0.268], [0.448, 0.726, 0.234], [0.448, 0.774, 0.734], [0.552, 0.226, 0.266], [0.552, 0.274, 0.766], [0.623, 0.577, 0.732], [0.623, 0.923, 0.232], [0.671, 0.065, 0.698], [0.671, 0.435, 0.198], [0.672, 0.110, 0.985], [0.672, 0.390, 0.485], [0.855, 0.092, 0.501], [0.855, 0.408, 0.001], [0.921, 0.230, 0.749], [0.921, 0.270, 0.249], [0.996, 0.000, 0.779], [0.996, 0.500, 0.279]]}



3.
{"formula": "Lu2Pb2O7", "functional": "SCAN", "state": "PBEsol geometry", "space_group": "Fd-3m, No. 227", "lattice_angstrom": [[0.000, 5.247, 5.247], [5.247, 0.000, 5.247], [5.247, 5.247, 0.000]], "species": ["Lu", "Lu", "Lu", "Lu", "Pb", "Pb", "Pb", "Pb", "O", "O", "O", "O", "O", "O", "O", "O", "O", "O", "O", "O", "O", "O"], "fractional_positions": [[0.000, 0.000, 0.000], [0.000, 0.000, 0.500], [0.000, 0.500, 0.000], [0.500, 0.000, 0.000], [0.000, 0.500, 0.500], [0.500, 0.000, 0.500], [0.500, 0.500, 0.000], [0.500, 0.500, 0.500], [0.125, 0.125, 0.125], [0.146, 0.146, 0.604], [0.146, 0.604, 0.146], [0.146, 0.604, 0.604], [0.396, 0.396, 0.854], [0.396, 0.854, 0.396], [0.396, 0.854, 0.854], [0.604, 0.146, 0.146], [0.604, 0.146, 0.604], [0.604, 0.604, 0.146], [0.854, 0.396, 0.396], [0.854, 0.396, 0.854], [0.854, 0.854, 0.396], [0.875, 0.875, 0.875]]}



4.
{"formula": "Lu2PdO4", "functional": "SCAN", "state": "PBEsol geometry", "space_group": "Cmce, No. 64", "lattice_angstrom": [[5.743, -2.720, 0.000], [5.743, 2.720, 0.000], [0.000, 0.000, 5.437]], "species": ["Lu", "Lu", "Lu", "Lu", "Pd", "Pd", "O", "O", "O", "O", "O", "O", "O", "O"], "fractional_positions": [[0.161, 0.161, 0.000], [0.339, 0.339, 0.500], [0.661, 0.661, 0.500], [0.839, 0.839, 0.000], [0.000, 0.000, 0.500], [0.500, 0.500, 0.000], [0.009, 0.491, 0.750], [0.171, 0.829, 0.829], [0.329, 0.671, 0.329], [0.491, 0.009, 0.250], [0.509, 0.991, 0.750], [0.671, 0.329, 0.671], [0.829, 0.171, 0.171], [0.991, 0.509, 0.250]]}



DFT total energy across the listed records, respectively: -1.119, -1.159, -2.210, -1.992 Ry per atom.
ΔE_f (raw) across the listed records, respectively: -2.951, -3.002, -2.266, -3.052 eV/atom.